Record 1
## MgSiTe (PBE)

Data for crystalline MgSiTe at its relaxed geometry.

Properties
E_form (uncorrected)	-0.263	eV per atom

The structure in POSCAR format:
```
MgSiTe
1.0
-6.655 8.670 7.458
-2.750 -2.935 0.958
3.559 -1.667 5.113
Mg Si Te
4 4 4
Direct
0.151 0.000 0.358
0.849 0.000 0.358
0.651 0.500 0.858
0.349 0.500 0.858
0.000 0.000 0.618
0.500 0.500 0.118
0.000 0.500 0.807
0.500 0.000 0.307
0.343 0.000 0.560
0.657 0.000 0.560
0.843 0.500 0.060
0.157 0.500 0.060
```

***

Record 2
## MgSi2Te (PBE)

Data for crystalline MgSi2Te at its relaxed geometry.

Properties
E_form (uncorrected)	0.389	eV per atom

The structure in POSCAR format:
```
MgSi2Te
1.0
-1.533 4.524 -0.276
-4.072 -1.247 2.180
1.487 0.698 3.177
Mg Si Te
1 2 1
Direct
0.000 0.500 0.500
0.000 0.000 0.000
0.500 0.500 0.000
0.500 0.000 0.500
```

***

Record 3
## MgSiTe (PBE)

Data for crystalline MgSiTe at its relaxed geometry.

Properties
E_form (uncorrected)	-0.216	eV per atom

The structure in POSCAR format:
```
MgSiTe
1.0
6.795 0.000 0.000
0.000 3.973 0.000
-3.275 0.000 6.173
Mg Si Te
2 2 2
Direct
0.600 0.000 0.564
0.234 0.500 0.945
0.632 0.500 0.292
0.835 0.000 0.301
0.951 0.000 0.994
0.228 0.000 0.639
```

***

no.,polymorph energy (0 for the lowest one) (eV per atom),M_tot (μB/atom)
1,0.004,0.00
2,0.299,0.00
3,0.051,0.00